Entry 1:
DFT (PBE) results for a geometry-optimized Fe2AgHg structure.

POSCAR file:
```
Fe2AgHg
1.0
2.831 0.030 0.000
-0.033 2.831 0.000
0.000 0.000 7.941
Fe Hg Ag
2 1 1
direct
0.000 0.000 0.992
0.000 0.000 0.508
0.500 0.500 0.250
0.500 0.500 0.750
```

Values from the calculation:
E (eV/atom): -4.552
Size of the total moment (μB per cell): 5.49
DFT formation energy (meV per atom): 467

---

Entry 2:
DFT (PBE) results for a geometry-optimized CdCo2Se structure.

POSCAR file:
```
CdCo2Se
1.0
-3.193 2.396 -0.459
-2.552 0.054 -3.103
-6.775 -2.140 0.252
Se Co Cd
1 2 1
direct
0.419 0.419 0.396
0.227 0.227 0.207
0.980 0.980 0.101
0.874 0.874 0.796
```

Values from the calculation:
E (eV/atom): -4.460
Size of the total moment (μB per cell): 3.36
ΔE_f (raw) (eV per atom): 0.193

---

Entry 3:
DFT (PBE) results for a geometry-optimized Ba4TlCd2In structure.

POSCAR file:
```
Ba4TlCd2In
1.0
6.035 0.000 0.000
3.018 5.227 0.000
3.018 1.742 9.871
Cd Ba In Tl
2 4 1 1
direct
0.251 0.251 0.248
0.749 0.749 0.752
0.125 0.125 0.625
0.625 0.625 0.125
0.875 0.875 0.375
0.375 0.375 0.875
0.000 0.000 0.000
0.500 0.500 0.500
```

Values from the calculation:
E (eV/atom): -2.200
Size of the total moment (μB per cell): 0.00
DFT formation energy (meV per atom): -372